This record from Alexandria via LeMat-Bulk describes a relaxed MnAgAu crystal. The functional is PBE.

Properties
energy of formation: 0.107 eV per atom
DFT total energy: -4.992 eV/atom
DOS at the Fermi energy: 1.9 states/eV/f.u.
relative energy among the computed polymorphs: 89.7 meV per atom
calculated density: 11.6 g/cm3

abc: 7.8198 3.0306 9.6035
angles: 90.00 115.27 90.00
With the nearest neighbours (Å) after each atom.
Element x y z (fractional)
Au (0.2077, 0.0000, 0.8542)  2 Mn 2.75, 6 Ag 2.90-2.93, 4 Au 3.03-3.05
Au (0.5748, 0.5000, 0.0352)  5 Mn 2.74-2.80, 3 Ag 2.96-3.01, 4 Au 3.03-3.05
Au (0.5748, 0.0000, 0.5352)  5 Mn 2.74-2.80, 3 Ag 2.96-3.01, 4 Au 3.03-3.05
Ag (0.0273, 0.5000, 0.0165)  5 Mn 2.79-2.84, 3 Au 2.93, 4 Ag 2.95-3.03
Mn (0.8896, 0.0000, 0.1968)  4 Au 2.74-2.75, 3 Ag 2.79-2.84, 5 Mn 2.95-3.03
Ag (0.3783, 0.0000, 0.1883)  2 Mn 2.79, 6 Au 2.90-3.01, 4 Ag 2.95-3.03
Mn (0.7017, 0.5000, 0.3560)  3 Au 2.78-2.80, 4 Ag 2.79, 5 Mn 2.95-3.03
Mn (0.8896, 0.5000, 0.6968)  4 Au 2.74-2.75, 3 Ag 2.79-2.84, 5 Mn 2.95-3.03
Mn (0.7017, 0.0000, 0.8560)  3 Au 2.78-2.80, 4 Ag 2.79, 5 Mn 2.95-3.03
Ag (0.0273, 0.0000, 0.5165)  5 Mn 2.79-2.84, 3 Au 2.93, 4 Ag 2.95-3.03
Au (0.2077, 0.5000, 0.3542)  2 Mn 2.75, 6 Ag 2.90-2.93, 4 Au 3.03-3.05
Ag (0.3783, 0.5000, 0.6883)  2 Mn 2.79, 6 Au 2.90-3.01, 4 Ag 2.95-3.03

=====

This record from Alexandria via LeMat-Bulk describes a relaxed ZrScTi2O crystal. The functional is PBE.

Properties
DFT total energy: -8.173 eV/atom
formation energy from raw total energies: -1.048 eV per atom
DOS at the Fermi energy: 5.3 states/eV/f.u.
relative energy among the computed polymorphs: 0.0 meV per atom
calculated density: 5.0 g/cm3

abc: 4.2800 4.2800 4.4571
angles: 90.00 90.00 90.00
With the nearest neighbours (Å) after each atom.
Element x y z (fractional)
O (0.0000, 0.0000, 0.0000)  4 Ti 2.14, 2 Sc 2.23
Sc (0.0000, 0.0000, 0.5000)  2 O 2.23
Zr (0.5000, 0.5000, 0.5000)  4 Sc 3.03, 8 Ti 3.09
Ti (0.0000, 0.5000, 0.0000)  2 O 2.14
Ti (0.5000, 0.0000, 0.0000)  2 O 2.14

=====

This record from Alexandria via LeMat-Bulk describes a relaxed Zr6HgH crystal. The functional is PBE.

Properties
DFT total energy: -6.943 eV/atom
DOS at the Fermi energy: 8.2 states/eV/f.u.
calculated density: 7.8 g/cm3

abc: 5.5449 6.8466 5.5778
angles: 71.98 80.70 52.63
With the nearest neighbours (Å) after each atom.
Element x y z (fractional)
Zr (0.1436, 0.0973, 0.3101)  1 H 2.42
Zr (0.4603, 0.7435, 0.8952)  1 H 2.16
Zr (0.8564, 0.9027, 0.6899)  1 H 2.42
Zr (0.5397, 0.2565, 0.1048)  1 H 2.16
Zr (0.0978, 0.3075, 0.7505)  1 H 2.45
Zr (0.9022, 0.6925, 0.2495)  1 H 2.45
H (0.0000, 0.0000, 0.0000)  2 Zr 2.16
Hg (0.5000, 0.5000, 0.5000)  12 Zr 3.06-3.24

=====

This record from Alexandria via LeMat-Bulk describes a relaxed Zr3Co4 crystal. The functional is PBE.

Properties
energy of formation: 0.488 eV per atom
DFT total energy: -7.236 eV/atom
DOS at the Fermi energy: 13.0 states/eV/f.u.
relative energy among the computed polymorphs: 750.3 meV per atom
calculated density: 7.0 g/cm3

abc: 5.6994 5.6994 4.3086
angles: 90.00 90.00 120.00
With the nearest neighbours (Å) after each atom.
Element x y z (fractional)
Co (0.3333, 0.6667, 0.5000)  6 Zr 2.71
Zr (0.5000, 0.5000, 0.0000)  4 Co 2.71, 4 Zr 2.85
Co (0.6667, 0.3333, 0.5000)  6 Zr 2.71
Co (0.0000, 0.0000, 0.7493)  2 Co 2.15-2.16
Co (0.0000, 0.0000, 0.2507)  2 Co 2.15-2.16
Zr (0.0000, 0.5000, 0.0000)  4 Co 2.71, 4 Zr 2.85
Zr (0.5000, 0.0000, 0.0000)  4 Co 2.71, 4 Zr 2.85

=====

This record from Alexandria via LeMat-Bulk describes a relaxed NiIr2Br crystal. The functional is PBE.

Properties
DFT total energy: -5.341 eV/atom
formation energy from raw total energies: 0.953 eV per atom
DOS at the Fermi energy: 4.5 states/eV/f.u.
relative energy among the computed polymorphs: 483.8 meV per atom
calculated density: 14.6 g/cm3

abc: 4.6338 4.6338 2.8600
angles: 90.00 90.00 104.39
With the nearest neighbours (Å) after each atom.
Element x y z (fractional)
Ir (0.0000, 0.0000, 0.0000)  4 Br 2.72, 4 Ni 2.72, 4 Ir 2.84-2.86
Ni (0.5000, 0.0000, 0.5000)  8 Ir 2.72, 2 Br 2.84, 2 Ni 2.86
Br (0.0000, 0.5000, 0.5000)  8 Ir 2.72, 2 Ni 2.84, 2 Br 2.86
Ir (0.5000, 0.5000, 0.0000)  4 Ni 2.72, 4 Br 2.72, 4 Ir 2.84-2.86

=====

This record from Alexandria via LeMat-Bulk describes a relaxed HoSb2Pb crystal. The functional is PBE.

Properties
DFT total energy: -4.519 eV/atom
formation energy from raw total energies: -0.386 eV per atom
DOS at the Fermi energy: 2.7 states/eV/f.u.
relative energy among the computed polymorphs: 49.5 meV per atom
calculated density: 7.8 g/cm3

abc: 4.5337 4.5337 7.7718
angles: 73.04 73.04 60.00
With the nearest neighbours (Å) after each atom.
Element x y z (fractional)
Pb (0.4977, 0.4977, 0.5070)  6 Sb 3.26-3.34
Sb (0.2589, 0.2589, 0.2232)  3 Ho 3.10, 3 Pb 3.34
Ho (0.6677, 0.6677, 0.9970)  6 Sb 3.09-3.10
Sb (0.0757, 0.0757, 0.7728)  3 Ho 3.09, 3 Pb 3.26